1.
# CaCdRe2, relaxed, DFT PBE
data_CaCdRe2
_chemical_formula_sum 'Ca1 Cd1 Re2'
_space_group_name_H-M_alt 'P 1 2/m 1'
_space_group_IT_number 10
_cell_length_a 2.776
_cell_length_b 5.083
_cell_length_c 5.313
_cell_angle_alpha 90.00
_cell_angle_beta 95.79
_cell_angle_gamma 90.00
loop_
_space_group_symop_operation_xyz
'x,y,z'
'-x,-y,-z'
'-x,y,-z'
'x,-y,z'
loop_
_atom_site_label
_atom_site_fract_x
_atom_site_fract_y
_atom_site_fract_z
_atom_site_occupancy
Ca1 0.000 0.000 0.000 1
Cd1 0.500 0.000 0.500 1
Re1 0.336 0.500 0.773 1
# DOS at the Fermi energy = 0.60 states/eV/atom
# DFT total energy = -6.310 eV/atom
# M_tot = 0.00 μB per formula unit

***

2.
# MnGaCoRuS, relaxed, DFT PBE
data_MnGaCoRuS
_chemical_formula_sum 'Mn2 Ga2 Co2 Ru2 S2'
_space_group_name_H-M_alt 'I m m 2'
_space_group_IT_number 44
_cell_length_a 2.943
_cell_length_b 4.130
_cell_length_c 10.707
_cell_angle_alpha 90.00
_cell_angle_beta 90.00
_cell_angle_gamma 90.00
loop_
_space_group_symop_operation_xyz
'x,y,z'
'-x,-y,z'
'-x,y,z'
'x,-y,z'
'x+1/2,y+1/2,z+1/2'
'-x+1/2,-y+1/2,z+1/2'
'-x+1/2,y+1/2,z+1/2'
'x+1/2,-y+1/2,z+1/2'
loop_
_atom_site_label
_atom_site_fract_x
_atom_site_fract_y
_atom_site_fract_z
_atom_site_occupancy
Mn1 0.000 0.000 0.000 1
Ga1 0.000 0.500 0.295 1
Co1 0.000 0.000 0.570 1
Ru1 0.000 0.500 0.861 1
S1 0.000 0.500 0.645 1
# Uncorrected formation energy = -0.0957 eV/atom
# DOS at the Fermi energy = 1.07 states/eV/atom
# DFT total energy = -6.637 eV/atom
# M_tot = 0.85 μB per formula unit

***

3.
# AcNd4Ge4, relaxed, DFT PBE
data_AcNd4Ge4
_chemical_formula_sum 'Ac2 Nd8 Ge8'
_space_group_name_H-M_alt 'P 42/n'
_space_group_IT_number 86
_cell_length_a 9.754
_cell_length_b 9.754
_cell_length_c 6.012
_cell_angle_alpha 90.00
_cell_angle_beta 90.00
_cell_angle_gamma 90.00
loop_
_space_group_symop_operation_xyz
'x,y,z'
'-x,-y,-z'
'-y,x+1/2,z+1/2'
'y,-x+1/2,-z+1/2'
'-x+1/2,-y+1/2,z'
'x+1/2,y+1/2,-z'
'y+1/2,-x,z+1/2'
'-y+1/2,x,-z+1/2'
loop_
_atom_site_label
_atom_site_fract_x
_atom_site_fract_y
_atom_site_fract_z
_atom_site_occupancy
Ac1 0.250 0.250 0.250 1
Nd1 0.101 0.639 0.132 1
Ge1 0.050 0.592 0.639 1
# DOS at the Fermi energy = 1.00 states/eV/atom
# DFT total energy = -5.173 eV/atom
# M_tot = 0.00 μB per formula unit

***

4.
# Y3Pd2Rh2, relaxed, DFT PBE
data_Y3Pd2Rh2
_chemical_formula_sum 'Y3 Pd2 Rh2'
_space_group_name_H-M_alt 'P -1'
_space_group_IT_number 2
_cell_length_a 4.707
_cell_length_b 4.720
_cell_length_c 7.735
_cell_angle_alpha 107.40
_cell_angle_beta 90.27
_cell_angle_gamma 119.84
loop_
_space_group_symop_operation_xyz
'x,y,z'
'-x,-y,-z'
loop_
_atom_site_label
_atom_site_fract_x
_atom_site_fract_y
_atom_site_fract_z
_atom_site_occupancy
Y1 0.000 0.000 0.000 1
Y2 0.427 0.852 0.283 1
Pd1 0.152 0.303 0.455 1
Rh1 0.290 0.580 0.869 1
# DOS at the Fermi energy = 0.47 states/eV/atom
# DFT total energy = -7.097 eV/atom
# M_tot = 0.00 μB per formula unit

***

5.
# Sr2BiIr2, relaxed, DFT PBE
data_Sr2BiIr2
_chemical_formula_sum 'Sr4 Bi2 Ir4'
_space_group_name_H-M_alt 'P 4/m b m'
_space_group_IT_number 127
_space_group_name_Hall '-P 4 2ab'
_cell_length_a 7.400
_cell_length_b 7.400
_cell_length_c 4.727
_cell_angle_alpha 90.00
_cell_angle_beta 90.00
_cell_angle_gamma 90.00
loop_
_atom_site_label
_atom_site_fract_x
_atom_site_fract_y
_atom_site_fract_z
_atom_site_occupancy
Sr1 0.176 0.324 0.000 1
Bi1 0.000 0.000 0.500 1
Ir1 0.118 0.618 0.500 1
# DOS at the Fermi energy = 0.69 states/eV/atom
# DFT total energy = -5.183 eV/atom
# M_tot = 0.67 μB per formula unit

***

6.
# GeBiAu4, relaxed, DFT PBE
data_GeBiAu4
_chemical_formula_sum 'Ge4 Bi4 Au16'
_space_group_name_H-M_alt 'F -4 3 m'
_space_group_IT_number 216
_space_group_name_Hall 'F -4 2 3'
_cell_length_a 7.975
_cell_length_b 7.975
_cell_length_c 7.975
_cell_angle_alpha 90.00
_cell_angle_beta 90.00
_cell_angle_gamma 90.00
loop_
_atom_site_label
_atom_site_fract_x
_atom_site_fract_y
_atom_site_fract_z
_atom_site_occupancy
Ge1 0.000 0.000 0.000 1
Bi1 0.250 0.250 0.750 1
Au1 0.125 0.125 0.375 1
# DOS at the Fermi energy = 0.48 states/eV/atom
# DFT total energy = -3.538 eV/atom
# M_tot = 0.00 μB per formula unit

***

7.
# Cd3Sn2Hg5, relaxed, DFT PBE
data_Cd3Sn2Hg5
_chemical_formula_sum 'Cd12 Sn8 Hg20'
_space_group_name_H-M_alt 'C 1 2/c 1'
_space_group_IT_number 15
_cell_length_a 9.330
_cell_length_b 21.317
_cell_length_c 5.624
_cell_angle_alpha 90.00
_cell_angle_beta 107.80
_cell_angle_gamma 90.00
loop_
_space_group_symop_operation_xyz
'x,y,z'
'-x,-y,-z'
'-x,y,-z+1/2'
'x,-y,z+1/2'
'x+1/2,y+1/2,z'
'-x+1/2,-y+1/2,-z'
'-x+1/2,y+1/2,-z+1/2'
'x+1/2,-y+1/2,z+1/2'
loop_
_atom_site_label
_atom_site_fract_x
_atom_site_fract_y
_atom_site_fract_z
_atom_site_occupancy
Cd1 0.000 0.035 0.250 1
Cd2 0.143 0.343 0.663 1
Sn1 0.145 0.271 0.163 1
Hg1 0.000 0.438 0.250 1
Hg2 0.080 0.152 0.555 1
Hg3 0.240 0.452 0.986 1
# DOS at the Fermi energy = 0.29 states/eV/atom
# DFT total energy = -1.173 eV/atom
# M_tot = 0.00 μB per formula unit

***

8.
# YHf2InH, relaxed, DFT PBE
data_YHf2InH
_chemical_formula_sum 'Y1 Hf2 In1 H1'
_space_group_name_H-M_alt 'P 4/m m m'
_space_group_IT_number 123
_space_group_name_Hall '-P 4 2'
_cell_length_a 4.509
_cell_length_b 4.509
_cell_length_c 4.674
_cell_angle_alpha 90.00
_cell_angle_beta 90.00
_cell_angle_gamma 90.00
loop_
_atom_site_label
_atom_site_fract_x
_atom_site_fract_y
_atom_site_fract_z
_atom_site_occupancy
Y1 0.000 0.000 0.000 1
Hf1 0.000 0.500 0.500 1
In1 0.500 0.500 0.000 1
H1 0.000 0.000 0.500 1
# DOS at the Fermi energy = 0.41 states/eV/atom
# DFT total energy = -6.717 eV/atom
# M_tot = 0.00 μB per formula unit